# K2MnPbF6 GGA+U optimized geometry
# Final energy in eV/atom: -5.107
# Total magnetic moment in μB/atom: 0.500
data_K2MnPbF6
_chemical_formula_sum 'K4 Mn2 Pb2 F12'
_space_group_name_H-M_alt 'P 1 21/c 1'
_space_group_IT_number 14
_cell_length_a 6.243
_cell_length_b 6.395
_cell_length_c 10.830
_cell_angle_alpha 90.00
_cell_angle_beta 124.77
_cell_angle_gamma 90.00
loop_
_space_group_symop_operation_xyz
'x,y,z'
'-x,-y,-z'
'-x,y+1/2,-z+1/2'
'x,-y+1/2,z+1/2'
loop_
_atom_site_label
_atom_site_type_symbol
_atom_site_fract_x
_atom_site_fract_y
_atom_site_fract_z
K1 K 0.237 0.045 0.250
Mn1 Mn 0.000 0.000 0.500
Pb1 Pb 0.500 0.000 0.000
F1 F 0.135 0.224 0.948
F2 F 0.230 0.691 0.953
F3 F 0.324 0.035 0.732